Entry 1:
# PmMgAsPd PBE relaxed
data_PmMgAsPd
_chemical_formula_sum 'Pm4 Mg4 As4 Pd4'
_cell_length_a 6.954
_cell_length_b 6.954
_cell_length_c 6.954
_cell_angle_alpha 90.00
_cell_angle_beta 90.00
_cell_angle_gamma 90.00
_space_group_name_H-M_alt 'F -4 3 m'
_space_group_IT_number 216
_space_group_name_Hall 'F -4 2 3'
loop_
_atom_site_label
_atom_site_type_symbol
_atom_site_fract_x
_atom_site_fract_y
_atom_site_fract_z
Pm1 Pm 0.000 0.000 0.000
Mg1 Mg 0.000 0.000 0.500
As1 As 0.250 0.250 0.750
Pd1 Pd 0.250 0.250 0.250
# DOS at the Fermi energy in states/eV/f.u.: 1.72
# E in eV/atom: -4.778
# Calculated formation energy in eV/atom: -0.731

***

Entry 2:
# Pm2MgAs3Pd4 PBE relaxed
data_Pm2MgAs3Pd4
_chemical_formula_sum 'Pm2 Mg1 As3 Pd4'
_cell_length_a 4.169
_cell_length_b 4.169
_cell_length_c 11.227
_cell_angle_alpha 90.00
_cell_angle_beta 90.00
_cell_angle_gamma 90.00
_space_group_name_H-M_alt 'P -4 m 2'
_space_group_IT_number 115
_space_group_name_Hall 'P -4 -2'
loop_
_atom_site_label
_atom_site_type_symbol
_atom_site_fract_x
_atom_site_fract_y
_atom_site_fract_z
Pm1 Pm 0.000 0.500 0.223
Mg1 Mg 0.000 0.000 0.500
As1 As 0.000 0.500 0.861
As2 As 0.500 0.500 0.500
Pd1 Pd 0.000 0.000 0.000
Pd2 Pd 0.000 0.500 0.643
Pd3 Pd 0.500 0.500 0.000
# DOS at the Fermi energy in states/eV/f.u.: 5.37
# E in eV/atom: -5.474
# Calculated formation energy in eV/atom: -0.892